[1]
CoSb2, PBEsol geometry, DFT SCAN; formation energy without anion corrections = 0.19 eV/atom; DFT total energy = -91.2 eV per formula unit; DOS at the Fermi energy = 2.4 states/eV/f.u.; V = 20.5 Å³/atom
1.0
-1.561 1.561 12.605
1.561 -1.561 12.605
1.561 1.561 -12.605
Co Sb
2 4
direct
0.375 0.625 0.750
0.625 0.375 0.250
0.063 0.813 0.250
0.187 0.937 0.250
0.813 0.063 0.750
0.937 0.187 0.750

[2]
BeTlTc, PBEsol geometry, DFT SCAN; DFT total energy = -109.8 eV per formula unit; DOS at the Fermi energy = 2.3 states/eV/f.u.; V = 15.1 Å³/atom; energy of formation from the pure elements = 0.6440 eV/atom; excess energy over the best structure of this formula in the dataset = 43.8 meV/atom
1.0
4.053 0.000 0.000
-2.026 3.510 0.000
0.000 0.000 3.183
Be Tl Tc
1 1 1
direct
0.000 0.000 0.000
0.667 0.333 0.675
0.333 0.667 0.181

[3]
Mg2TiO4, PBEsol geometry, DFT SCAN; formation energy without anion corrections = -3.18 eV/atom; DFT total energy = -73.2 eV per formula unit; DOS at the Fermi energy = 0.0 states/eV/f.u.; V = 10.7 Å³/atom; excess energy over the best structure of this formula in the dataset = 4.4 meV/atom
1.0
8.404 -5.983 0.000
8.404 5.983 0.000
-0.007 0.000 5.985
Mg Ti O
16 8 32
direct
0.000 0.000 0.000
0.001 0.497 0.502
0.001 0.749 0.751
0.187 0.187 0.759
0.190 0.685 0.253
0.251 0.999 0.249
0.313 0.312 0.246
0.315 0.810 0.747
0.502 0.248 0.748
0.502 0.498 0.500
0.503 0.999 0.498
0.688 0.687 0.754
0.689 0.185 0.256
0.752 0.498 0.252
0.813 0.813 0.241
0.815 0.311 0.744
0.000 0.250 0.248
0.007 0.993 0.500
0.252 0.498 0.736
0.493 0.003 0.998
0.502 0.748 0.264
0.508 0.492 0.000
0.750 0.000 0.752
0.997 0.507 0.002
0.110 0.374 0.243
0.112 0.887 0.736
0.113 0.888 0.264
0.114 0.123 0.485
0.116 0.127 0.031
0.123 0.611 0.986
0.127 0.390 0.765
0.131 0.615 0.529
0.371 0.381 0.526
0.376 0.607 0.761
0.379 0.387 0.983
0.385 0.869 0.471
0.389 0.877 0.014
0.390 0.109 0.235
0.391 0.111 0.763
0.393 0.624 0.239
0.610 0.873 0.235
0.612 0.386 0.762
0.613 0.621 0.017
0.614 0.388 0.238
0.619 0.629 0.474
0.626 0.110 0.983
0.626 0.890 0.757
0.630 0.115 0.529
0.873 0.884 0.969
0.876 0.107 0.739
0.877 0.886 0.515
0.885 0.370 0.471
0.889 0.609 0.237
0.890 0.374 0.017
0.891 0.610 0.765
0.893 0.124 0.261

[4]
BaTi2Sb2O, PBEsol geometry, DFT SCAN; formation energy without anion corrections = -1.50 eV/atom; DFT total energy = -161.4 eV per formula unit; DOS at the Fermi energy = 2.8 states/eV/f.u.; V = 22.3 Å³/atom
1.0
4.056 0.000 0.000
0.000 4.056 0.000
0.000 0.000 8.152
Ba Ti Sb O
1 2 2 1
direct
0.000 0.000 0.000
0.000 0.500 0.500
0.500 0.000 0.500
0.500 0.500 0.254
0.500 0.500 0.746
0.000 0.000 0.500

[5]
Ti2BeRuS, PBEsol geometry, DFT SCAN; formation energy without anion corrections = 0.68 eV/atom; DFT total energy = -77.5 eV per formula unit; DOS at the Fermi energy = 4.8 states/eV/f.u.; V = 18.7 Å³/atom
1.0
4.634 0.000 0.000
0.000 4.634 0.000
0.000 0.000 4.358
Ti Be Ru S
2 1 1 1
direct
0.000 0.500 0.000
0.500 0.000 0.000
0.000 0.000 0.500
0.500 0.500 0.000
0.500 0.500 0.500

[6]
Mg3NbFe, PBEsol geometry, DFT SCAN; DFT total energy = -61.4 eV per formula unit; DOS at the Fermi energy = 3.7 states/eV/f.u.; V = 19.4 Å³/atom; energy of formation from the pure elements = 0.9647 eV/atom
1.0
4.591 0.000 0.000
0.000 4.591 0.000
0.000 0.000 4.591
Mg Nb Fe
3 1 1
direct
0.000 0.000 0.500
0.000 0.500 0.000
0.500 0.000 0.000
0.500 0.500 0.500
0.000 0.000 0.000

[7]
ZrAl2Co2, PBEsol geometry, DFT SCAN; DFT total energy = -82.7 eV per formula unit; DOS at the Fermi energy = 3.3 states/eV/f.u.; V = 13.7 Å³/atom; energy of formation from the pure elements = -0.3823 eV/atom; excess energy over the best structure of this formula in the dataset = 0.0 meV/atom
1.0
7.023 0.000 0.000
0.000 7.023 0.000
0.000 0.000 2.782
Zr Al Co
2 4 4
direct
0.000 0.000 0.000
0.500 0.500 0.000
0.144 0.356 0.500
0.356 0.856 0.500
0.644 0.144 0.500
0.856 0.644 0.500
0.150 0.650 0.000
0.350 0.150 0.000
0.650 0.850 0.000
0.850 0.350 0.000

[8]
CdFe2Cu, PBEsol geometry, DFT SCAN; DFT total energy = -81.0 eV per formula unit; DOS at the Fermi energy = 3.0 states/eV/f.u.; V = 13.2 Å³/atom; energy of formation from the pure elements = 0.2212 eV/atom
1.0
-1.827 1.827 3.947
1.827 -1.827 3.947
1.827 1.827 -3.947
Cd Fe Cu
1 2 1
direct
0.000 0.000 0.000
0.250 0.750 0.500
0.750 0.250 0.500
0.500 0.500 0.000

[9]
CrAuSeN2, PBEsol geometry, DFT SCAN; formation energy without anion corrections = 0.41 eV/atom; DFT total energy = -124.2 eV per formula unit; DOS at the Fermi energy = 1.1 states/eV/f.u.; V = 14.0 Å³/atom; excess energy over the best structure of this formula in the dataset = 0.0 meV/atom
1.0
3.623 0.000 0.000
0.000 3.623 0.000
0.000 0.000 5.338
Cr Au Se N
1 1 1 2
direct
0.000 0.000 0.000
0.500 0.500 0.500
0.000 0.000 0.500
0.000 0.500 0.000
0.500 0.000 0.000

[10]
LiNiHRu2, PBEsol geometry, DFT SCAN; DFT total energy = -90.6 eV per formula unit; DOS at the Fermi energy = 4.5 states/eV/f.u.; V = 10.1 Å³/atom
1.0
3.732 0.000 0.000
0.000 3.732 0.000
0.000 0.000 3.611
Li Ni H Ru
1 1 1 2
direct
0.000 0.000 0.000
0.500 0.500 0.000
0.000 0.000 0.500
0.000 0.500 0.500
0.500 0.000 0.500

[11]
NbO2F, PBEsol geometry, DFT SCAN; formation energy without anion corrections = -2.88 eV/atom; DFT total energy = -60.7 eV per formula unit; DOS at the Fermi energy = 0.0 states/eV/f.u.; V = 15.5 Å³/atom
1.0
4.794 -2.831 0.000
4.794 2.831 0.000
-3.326 0.000 4.576
Nb O F
2 4 2
direct
0.221 0.779 0.500
0.779 0.221 0.000
0.014 0.465 0.237
0.465 0.014 0.737
0.972 0.982 0.231
0.982 0.972 0.731
0.495 0.505 0.243
0.505 0.495 0.743

[12]
SbWN2, PBEsol geometry, DFT SCAN; formation energy without anion corrections = 0.20 eV/atom; DFT total energy = -124.7 eV per formula unit; DOS at the Fermi energy = 2.5 states/eV/f.u.; V = 19.2 Å³/atom
1.0
0.000 4.251 4.251
4.251 0.000 4.251
4.251 4.251 0.000
Sb W N
2 2 4
direct
0.125 0.125 0.125
0.875 0.875 0.875
0.375 0.375 0.375
0.625 0.625 0.625
0.000 0.500 0.500
0.500 0.000 0.500
0.500 0.500 0.000
0.500 0.500 0.500